Entry 1:
Computed, not measured: a geometry-optimized RbAg3S3 structure at the PBE-GGA level of DFT.

## Properties
- Space-group type: R-3 (148)
- Relative energy among the computed polymorphs: 46.4 meV per atom
- Formation energy without anion corrections: -195 meV per atom
- Raw total energy: -0.2443 Ry per atom

Cell lengths 7.247, 7.247, 9.216 Å; angles 66.85, 66.85, 60.00 degrees
Element x y z (fractional)
Rb 0.333 0.333 0.000
Rb 0.667 0.667 0.000
S 0.435 0.098 0.705
S 0.098 0.762 0.705
S 0.902 0.238 0.295
S 0.238 0.565 0.295
S 0.762 0.435 0.705
S 0.565 0.902 0.295
Ag 0.123 0.451 0.630
Ag 0.549 0.205 0.370
Ag 0.795 0.123 0.630
Ag 0.451 0.795 0.630
Ag 0.205 0.877 0.370
Ag 0.877 0.549 0.370

---

Entry 2:
Computed, not measured: a geometry-optimized RbAgS3 structure at the PBE-GGA level of DFT.

## Properties
- Space-group type: Pm-3m (221)
- Formation energy without anion corrections: 143 meV per atom
- Raw total energy: -0.2276 Ry per atom

Cell lengths 4.994, 4.994, 4.994 Å; angles 90.00, 90.00, 90.00 degrees
Element x y z (fractional)
S 0.000 0.500 0.000
S 0.000 0.000 0.500
S 0.500 0.000 0.000
Ag 0.000 0.000 0.000
Rb 0.500 0.500 0.500

---

Size of the total moment for every record listed, in sequence, given in Bohr magnetons per cell: 0.000; 0.000.